Model A:
Below is a relaxed ZnCdPd5 crystal, with properties calculated at the PBE-GGA level.

POSCAR file:
```
ZnCdPd5
1.0
6.383 0.300 2.874
2.309 5.958 2.874
5.716 4.115 9.924
Zn Cd Pd
2 2 10
Direct
0.000 0.000 0.000
0.000 0.000 0.500
0.543 0.457 0.250
0.457 0.543 0.750
0.467 0.788 0.433
0.035 0.504 0.596
0.788 0.467 0.933
0.936 0.064 0.250
0.496 0.965 0.904
0.504 0.035 0.096
0.064 0.936 0.750
0.212 0.533 0.067
0.965 0.496 0.404
0.533 0.212 0.567
```

Calculated values
- Total magnetization: 0.000 Bohr magnetons per cell

=====

Model B:
Below is a relaxed ZnCdPd5 crystal, with properties calculated at the PBE-GGA level.

POSCAR file:
```
ZnCdPd5
1.0
4.178 0.000 0.000
0.000 4.178 0.000
0.000 0.000 6.684
Zn Cd Pd
1 1 5
Direct
0.500 0.500 0.000
0.000 0.000 0.500
0.000 0.500 0.783
0.000 0.500 0.217
0.500 0.000 0.783
0.500 0.000 0.217
0.500 0.500 0.500
```

Calculated values
- Total magnetization: 0.000 Bohr magnetons per cell

=====

Quick look at relative energies in kJ/mol of atoms: model A 0.0; model B 1.1.

=====

Model A:
Below is a relaxed ZnCd2Pd8 crystal, with properties calculated at the PBE-GGA level.

POSCAR file:
```
ZnCd2Pd8
1.0
4.084 0.000 0.000
0.000 6.261 0.316
-2.042 -2.249 6.762
Zn Cd Pd
1 2 8
Direct
0.500 0.000 0.000
0.776 0.353 0.552
0.224 0.647 0.448
0.411 0.554 0.821
0.675 0.907 0.349
0.864 0.824 0.728
0.959 0.271 0.919
0.136 0.176 0.272
0.325 0.093 0.651
0.589 0.446 0.179
0.041 0.729 0.081
```

Calculated values
- Total magnetization: 0.000 Bohr magnetons per cell

=====

Model B:
Below is a relaxed ZnCd2Pd8 crystal, with properties calculated at the PBE-GGA level.

POSCAR file:
```
ZnCd2Pd8
1.0
-1.798 2.494 2.646
-2.703 1.058 -2.834
-6.625 -8.222 3.248
Zn Cd Pd
1 2 8
Direct
0.000 0.000 0.000
0.000 0.000 0.321
0.000 0.000 0.679
0.000 0.500 0.500
0.500 0.000 0.500
0.500 0.500 0.318
0.500 0.500 0.682
0.000 0.500 0.138
0.500 0.000 0.138
0.000 0.500 0.862
0.500 0.000 0.862
```

Calculated values
- Total magnetization: 0.001 Bohr magnetons per cell

=====

Quick look at relative energies in kJ/mol of atoms: model A 0.0; model B 7.2.

=====

Model A:
Below is a relaxed ZnCdPd4 crystal, with properties calculated at the PBE-GGA level.

POSCAR file:
```
ZnCdPd4
1.0
-1.949 -0.536 1.990
-3.157 -2.855 -1.839
2.937 -6.852 3.055
Zn Cd Pd
1 1 4
Direct
0.000 0.000 0.000
0.500 0.500 0.500
0.651 0.552 0.145
0.349 0.448 0.855
0.155 0.023 0.666
0.845 0.977 0.334
```

Calculated values
- Total magnetization: 0.000 Bohr magnetons per cell

=====

Model B:
Below is a relaxed ZnCdPd4 crystal, with properties calculated at the PBE-GGA level.

POSCAR file:
```
ZnCdPd4
1.0
2.839 0.000 0.000
0.000 7.556 0.000
0.000 0.000 17.747
Zn Cd Pd
4 4 16
Direct
0.750 0.251 0.444
0.250 0.749 0.556
0.250 0.249 0.944
0.750 0.751 0.056
0.750 0.735 0.812
0.250 0.265 0.188
0.250 0.765 0.312
0.750 0.235 0.688
0.750 0.878 0.666
0.250 0.122 0.334
0.250 0.622 0.166
0.750 0.378 0.834
0.750 0.894 0.444
0.250 0.106 0.556
0.250 0.606 0.944
0.750 0.394 0.056
0.750 0.955 0.935
0.250 0.045 0.065
0.250 0.545 0.435
0.750 0.455 0.565
0.750 0.942 0.198
0.250 0.058 0.802
0.250 0.558 0.698
0.750 0.442 0.302
```

Calculated values
- Total magnetization: 0.000 Bohr magnetons per cell

=====

Quick look at relative energies in kJ/mol of atoms: model A 8.8; model B 0.0.